Compound: HfTi2PdBr
Source: the Alexandria database
Functional: GGA-PBE
Structure: optimized geometry

Calculated values
ΔE_f (raw) (meV per atom): 1117.2
Crystal system: tetragonal
Calculated volume (Å³/atom): 24.50

Cell: 4.9719 4.9719 4.9566 Å, 90.00 90.00 90.00°
With the nearest neighbours (Å) after each atom.
Sites, in units of the cell vectors:
Hf1 0.0000 0.0000 0.0000  2 Br 2.48, 4 Ti 2.49
Ti1 0.0000 0.5000 0.0000  2 Hf 2.49
Ti2 0.5000 0.0000 0.0000  2 Hf 2.49
Pd1 0.5000 0.5000 0.5000  8 Ti 3.51, 4 Br 3.52
Br1 0.0000 0.0000 0.5000  2 Hf 2.48

Compound: K4Cl4O3
Source: the Alexandria database
Functional: GGA-PBE
Structure: optimized geometry

Calculated values
ΔE_f (raw) (meV per atom): -1253.4
Crystal system: orthorhombic
Calculated volume (Å³/atom): 30.30

Cell: 12.4859 5.7134 5.7134 Å, 54.87 90.00 90.00°
With the nearest neighbours (Å) after each atom.
Sites, in units of the cell vectors:
K1 0.0000 0.0000 0.0000  7 O 3.02-3.34, 5 Cl 3.13-3.22
K2 0.2491 0.6764 0.6764  5 Cl 3.11-3.23
K3 0.5000 0.9947 0.9947  5 Cl 3.11-3.25
K4 0.7509 0.6764 0.6764  5 Cl 3.11-3.23
Cl1 0.0000 0.6823 0.6823  2 O 2.88, 5 K 3.11-3.22
Cl2 0.2508 0.9949 0.9949  5 K 3.11-3.23
Cl3 0.5000 0.6746 0.6746  5 K 3.13-3.25
Cl4 0.7492 0.9949 0.9949  5 K 3.11-3.23
O1 0.0000 0.2979 0.2979  2 O 1.30
O2 0.0892 0.3645 0.3645  1 O 1.30
O3 0.9108 0.3645 0.3645  1 O 1.30

Compound: HgGeBi
Source: the Alexandria database
Functional: GGA-PBE
Structure: optimized geometry

Calculated values
Energy above the lowest structure with this stoichiometry (meV per atom): 31
Crystal system: triclinic
Calculated volume (Å³/atom): 28.05
ΔH_f (0 K) (kJ per mole of atoms): 15.0

Cell: 4.7291 6.0085 6.6770 Å, 66.11 80.99 76.59°
With the nearest neighbours (Å) after each atom.
Sites, in units of the cell vectors:
Hg1 0.2045 0.2066 0.4743  2 Ge 2.83-3.07, 1 Bi 3.17
Hg2 0.7955 0.7934 0.5257  2 Ge 2.83-3.07, 1 Bi 3.17
Ge1 0.1639 0.9808 0.1430  1 Ge 2.55, 1 Hg 2.83, 1 Bi 2.84
Ge2 0.8361 0.0192 0.8570  1 Ge 2.55, 1 Hg 2.83, 1 Bi 2.84
Bi1 0.3784 0.4273 0.8347  2 Ge 2.84-2.93, 1 Bi 3.13, 1 Hg 3.17
Bi2 0.6216 0.5727 0.1653  2 Ge 2.84-2.93, 1 Bi 3.13, 1 Hg 3.17

Compound: ScTlNi2
Source: the Alexandria database
Functional: GGA-PBE
Structure: optimized geometry

Calculated values
Crystal system: tetragonal
Calculated volume (Å³/atom): 16.16
ΔH_f (0 K) (kJ per mole of atoms): -14.3

Cell: 5.0726 5.0726 5.0726 Å, 134.85 134.85 65.77°
With the nearest neighbours (Å) after each atom.
Sites, in units of the cell vectors:
Sc1 0.0000 0.0000 0.0000  8 Ni 2.75-2.89, 4 Tl 2.89
Tl1 0.7500 0.2500 0.5000  8 Ni 2.75-2.89, 4 Sc 2.89
Ni1 0.2500 0.7500 0.5000  4 Tl 2.75, 4 Ni 2.89, 4 Sc 2.89
Ni2 0.5000 0.5000 0.0000  4 Sc 2.75, 4 Tl 2.89, 4 Ni 2.89